Record 1
# LaEr3Co2 PBE optimized geometry
# Final energy: -5.62 eV/atom
# ΔH_f (0 K): -0.144 eV per atom
data_LaEr3Co2
_chemical_formula_sum 'La2 Er6 Co4'
_space_group_name_H-M_alt 'P 1'
_space_group_IT_number 1
_cell_length_a 3.745
_cell_length_b 8.485
_cell_length_c 9.919
_cell_angle_alpha 79.58
_cell_angle_beta 79.12
_cell_angle_gamma 77.25
loop_
_space_group_symop_operation_xyz
'x,y,z'
loop_
_atom_site_label
_atom_site_type_symbol
_atom_site_fract_x
_atom_site_fract_y
_atom_site_fract_z
Er1 Er 0.413 0.739 0.436
Co1 Co 0.767 0.921 0.546
Er2 Er 0.156 0.938 0.751
La1 La 0.843 0.565 0.749
Er3 Er 0.587 0.261 0.564
Er4 Er 0.583 0.783 0.051
La2 La 0.157 0.435 0.251
Co2 Co 0.233 0.079 0.454
Er5 Er 0.844 0.062 0.249
Co3 Co 0.238 0.580 0.944
Co4 Co 0.762 0.420 0.056
Er6 Er 0.417 0.217 0.949



Record 2
# LaErCo2 PBE optimized geometry
# Final energy: -5.97 eV/atom
# Polymorph energy (0 for the lowest one): 0.007 eV/atom
# ΔH_f (0 K): -0.049 eV per atom
data_LaErCo2
_chemical_formula_sum 'La1 Er1 Co2'
_space_group_name_H-M_alt 'P 1'
_space_group_IT_number 1
_cell_length_a 4.820
_cell_length_b 4.820
_cell_length_c 4.820
_cell_angle_alpha 60.00
_cell_angle_beta 60.00
_cell_angle_gamma 60.00
loop_
_space_group_symop_operation_xyz
'x,y,z'
loop_
_atom_site_label
_atom_site_type_symbol
_atom_site_fract_x
_atom_site_fract_y
_atom_site_fract_z
Co1 Co 0.750 0.750 0.750
Er1 Er 0.000 0.000 0.000
La1 La 0.500 0.500 0.500
Co2 Co 0.250 0.250 0.250



Record 3
# La3ErCo2 PBE optimized geometry
# Final energy: -5.70 eV/atom
# ΔH_f (0 K): -0.105 eV per atom
data_La3ErCo2
_chemical_formula_sum 'La6 Er2 Co4'
_space_group_name_H-M_alt 'P 1'
_space_group_IT_number 1
_cell_length_a 4.055
_cell_length_b 8.628
_cell_length_c 10.376
_cell_angle_alpha 79.96
_cell_angle_beta 78.73
_cell_angle_gamma 76.41
loop_
_space_group_symop_operation_xyz
'x,y,z'
loop_
_atom_site_label
_atom_site_type_symbol
_atom_site_fract_x
_atom_site_fract_y
_atom_site_fract_z
Co1 Co 0.126 0.621 0.127
La1 La 0.819 0.807 0.554
Co2 Co 0.624 0.127 0.624
La2 La 0.694 0.677 0.936
Co3 Co 0.376 0.873 0.376
La3 La 0.941 0.924 0.193
Er1 Er 0.439 0.428 0.693
La4 La 0.181 0.193 0.446
Co4 Co 0.874 0.379 0.873
La5 La 0.306 0.323 0.064
La6 La 0.059 0.076 0.807
Er2 Er 0.561 0.572 0.307



Record 4
# LaErCo10 PBE optimized geometry
# Final energy: -6.79 eV/atom
# ΔH_f (0 K): -0.073 eV per atom
data_LaErCo10
_chemical_formula_sum 'La1 Er1 Co10'
_space_group_name_H-M_alt 'P 1'
_space_group_IT_number 1
_cell_length_a 3.949
_cell_length_b 4.953
_cell_length_c 8.646
_cell_angle_alpha 90.00
_cell_angle_beta 90.00
_cell_angle_gamma 90.00
loop_
_space_group_symop_operation_xyz
'x,y,z'
loop_
_atom_site_label
_atom_site_type_symbol
_atom_site_fract_x
_atom_site_fract_y
_atom_site_fract_z
La1 La 0.000 0.000 0.000
Co1 Co 0.500 0.741 0.740
Co2 Co 0.000 0.500 0.826
Co3 Co 0.000 0.000 0.336
Co4 Co 0.000 0.500 0.174
Er1 Er 0.000 0.500 0.500
Co5 Co 0.500 0.000 0.500
Co6 Co 0.000 0.000 0.664
Co7 Co 0.500 0.500 0.000
Co8 Co 0.500 0.259 0.260
Co9 Co 0.500 0.259 0.740
Co10 Co 0.500 0.741 0.260



Record 5
# La12ErCo7 PBE optimized geometry
# Final energy: -5.77 eV/atom
# ΔH_f (0 K): -0.099 eV per atom
data_La12ErCo7
_chemical_formula_sum 'La12 Er1 Co7'
_space_group_name_H-M_alt 'P 1'
_space_group_IT_number 1
_cell_length_a 8.886
_cell_length_b 8.886
_cell_length_c 8.886
_cell_angle_alpha 107.41
_cell_angle_beta 107.41
_cell_angle_gamma 107.41
loop_
_space_group_symop_operation_xyz
'x,y,z'
loop_
_atom_site_label
_atom_site_type_symbol
_atom_site_fract_x
_atom_site_fract_y
_atom_site_fract_z
Co1 Co 0.877 0.979 0.648
Co2 Co 0.352 0.123 0.021
Co3 Co 0.979 0.648 0.877
La1 La 0.627 0.553 0.845
Co4 Co 0.123 0.021 0.352
La2 La 0.220 0.076 0.684
La3 La 0.780 0.924 0.316
Er1 Er 0.000 0.000 0.000
La4 La 0.316 0.780 0.924
Co5 Co 0.500 0.500 0.500
La5 La 0.924 0.316 0.780
Co6 Co 0.648 0.877 0.979
La6 La 0.447 0.155 0.373
La7 La 0.553 0.845 0.627
La8 La 0.076 0.684 0.220
La9 La 0.155 0.373 0.447
La10 La 0.373 0.447 0.155
La11 La 0.684 0.220 0.076
La12 La 0.845 0.627 0.553
Co7 Co 0.021 0.352 0.123



Record 6
# La3ErCo PBE optimized geometry
# Final energy: -5.25 eV/atom
# Polymorph energy (0 for the lowest one): 0.120 eV/atom
# ΔH_f (0 K): 0.042 eV per atom
data_La3ErCo
_chemical_formula_sum 'La3 Er1 Co1'
_space_group_name_H-M_alt 'P 1'
_space_group_IT_number 1
_cell_length_a 5.463
_cell_length_b 5.463
_cell_length_c 5.463
_cell_angle_alpha 90.00
_cell_angle_beta 90.00
_cell_angle_gamma 90.00
loop_
_space_group_symop_operation_xyz
'x,y,z'
loop_
_atom_site_label
_atom_site_type_symbol
_atom_site_fract_x
_atom_site_fract_y
_atom_site_fract_z
La1 La 0.500 0.000 0.000
La2 La 0.000 0.000 0.500
Er1 Er 0.500 0.500 0.500
Co1 Co 0.000 0.000 0.000
La3 La 0.000 0.500 0.000